# TePSe, optimized geometry, DFT PBE
data_TePSe
_cell_length_a 4.7114
_cell_length_b 4.7114
_cell_length_c 4.7114
_cell_angle_alpha 60.00
_cell_angle_beta 60.00
_cell_angle_gamma 60.00
_space_group_name_H-M_alt 'P 1'
_space_group_IT_number 1
_space_group_name_Hall 'P 1'
loop_
_atom_site_label
_atom_site_type_symbol
_atom_site_fract_x
_atom_site_fract_y
_atom_site_fract_z
_atom_site_occupancy
Te1 Te 0.5000 0.5000 0.5000 1
Se1 Se 0.0000 0.0000 0.0000 1
P1 P 0.2500 0.2500 0.2500 1
# Excess energy over the best structure of this formula in the dataset: 488.0 meV per atom
# Energy relative to the elements, uncorrected: 0.55 eV/atom